# Rb3TlAu2I9 | Alexandria | PBE | relaxed
# * DOS at the Fermi energy: 3.648 states/eV per cell
# * VASP energy: -2.3843 eV/atom
# * raw formation energy: -666 meV/atom
# * crystal system: trigonal
data_Rb3TlAu2I9
_chemical_formula_sum 'Rb3 Tl1 Au2 I9'
_cell_length_a 8.394
_cell_length_b 8.394
_cell_length_c 10.379
_cell_angle_alpha 90.00
_cell_angle_beta 90.00
_cell_angle_gamma 120.00
_symmetry_space_group_name_H-M 'P 1'
_symmetry_Int_Tables_number 1
loop_
_symmetry_equiv_pos_as_xyz
'x,y,z'
loop_
_atom_site_label
_atom_site_type_symbol
_atom_site_fract_x
_atom_site_fract_y
_atom_site_fract_z
Rb1 Rb 0.000 0.000 0.000
Rb2 Rb 0.333 0.667 0.668
Rb3 Rb 0.667 0.333 0.332
Tl1 Tl 0.000 0.000 0.500
Au1 Au 0.333 0.667 0.156
Au2 Au 0.667 0.333 0.844
I1 I 0.000 0.500 0.000
I2 I 0.173 0.346 0.320
I3 I 0.173 0.827 0.320
I4 I 0.346 0.173 0.680
I5 I 0.500 0.000 0.000
I6 I 0.500 0.500 0.000
I7 I 0.654 0.827 0.320
I8 I 0.827 0.173 0.680
I9 I 0.827 0.654 0.680